(1)
Y5Tm3Th2: relaxed, PBE.

```
Y5Tm3Th2
1.0
5.345 -8.451 0.000
5.345 8.451 0.000
-5.344 0.000 7.237
Y Tm Th
10 6 4
Cartesian
1.337 8.004 5.428
-1.355 2.220 5.439
4.009 3.741 1.809
1.317 -2.220 1.820
4.009 0.511 1.809
1.337 -0.511 5.428
4.028 2.220 5.417
1.337 -3.741 5.428
6.700 -2.220 1.798
4.009 -8.004 1.809
1.325 2.152 0.317
1.337 4.789 5.428
-1.347 -2.152 3.936
6.692 2.152 3.301
4.009 -4.789 1.809
4.020 -2.152 6.920
1.325 2.151 3.455
-1.347 -2.151 7.073
6.692 2.151 0.164
4.020 -2.151 3.782
```

Calculated values
magnetic moment	0.00	μB per cell
final energy	-5.85	eV/atom


(2)
Y5Tm4Th2: relaxed, PBE.

```
Y5Tm4Th2
1.0
-1.709 4.599 12.201
1.709 -4.599 12.201
1.709 4.599 -12.201
Y Tm Th
5 4 2
Cartesian
0.000 0.000 0.000
1.709 2.950 -3.848
1.709 2.950 3.848
0.000 1.648 8.354
0.000 1.648 16.049
1.709 0.000 5.855
1.709 2.906 0.000
0.000 1.693 12.201
0.000 4.599 6.347
1.709 0.000 2.637
0.000 4.599 9.565
```

Calculated values
magnetic moment	0.00	μB per cell
energy above the most stable polymorph in this dataset	0.4580	eV/atom


(3)
Y6Tm3Th: relaxed, PBE.

```
Y6Tm3Th
1.0
5.524 -9.393 0.000
5.524 9.393 0.000
0.000 0.000 6.264
Y Tm Th
12 6 2
Cartesian
2.821 3.920 6.073
5.524 8.516 3.132
5.524 4.275 1.588
3.719 0.823 0.889
3.719 -0.823 4.021
2.821 -3.920 2.941
8.227 3.920 6.073
7.329 0.823 0.889
7.329 -0.823 4.021
5.524 -4.275 4.720
5.524 -8.516 0.000
8.227 -3.920 2.941
1.913 2.071 3.488
1.913 -2.071 0.356
5.524 2.116 4.211
5.524 -2.116 1.079
9.135 2.071 3.488
9.135 -2.071 0.356
5.524 5.551 4.718
5.524 -5.551 1.586
```

Calculated values
magnetic moment	0.00	μB per cell
energy above the most stable polymorph in this dataset	0.0000	eV/atom


(4)
Y7Tm4Th: relaxed, PBE.

```
Y7Tm4Th
1.0
6.185 0.000 0.000
0.006 7.157 0.000
2.082 0.008 8.574
Y Tm Th
7 4 1
Cartesian
0.000 0.000 0.000
2.053 3.582 2.851
3.106 1.791 5.713
5.172 5.357 8.563
3.101 1.808 0.011
5.167 5.374 2.861
6.220 3.583 5.723
2.079 0.004 2.906
3.088 5.377 5.724
5.185 1.788 2.850
6.194 7.162 5.668
0.003 3.578 0.000
```

Calculated values
magnetic moment	0.00	μB per cell
final energy	-5.87	eV/atom